First-principles (PBE) data for a relaxed structure of NiSnHgSe3, as listed in OQMD via LeMat-Bulk.

a b c (Å): 3.7372 15.1845 10.3889
angles (deg): 90.00 90.00 90.00
With the nearest neighbours (Å) after each atom.
Space group Cmcm (No. 63)
Symmetry-distinct sites (fractional):
Ni  0.0000  0.0000  0.0000 [4 per cell]  6 Se 2.42-2.62
Sn  0.0000  0.3499  0.2500 [4 per cell]  4 Se 2.71-2.87, 2 Hg 3.02
Hg  0.0000  0.3062  0.7500 [4 per cell]  2 Se 2.81, 2 Sn 3.02
Se  0.0000  0.0205  0.7500 [4 per cell]  2 Ni 2.62, 2 Sn 2.71
Se  0.0000  0.3992  0.5164 [8 per cell]  2 Ni 2.42

Computed properties:
energy above the lowest structure with this stoichiometry = 0.0 kJ/mol of atoms
size of the total moment = 0.00 μB/atom
VASP energy = -0.1329 Ha/atom